Material: Pm5CoAu
Method: DFT, PBE
State: relaxed

The density of states at the Fermi level is 7.33 states/eV/f.u. The value obtained for the formation energy is -0.141 eV/atom.

The structure in POSCAR format:
```
Pm5CoAu
1.0
6.8332 0.5294 -0.0204
2.6699 6.3123 -0.0204
3.4309 2.4701 10.0112
Co Pm Au
2 10 2
direct
0.0000 0.0000 0.5000
0.0000 0.0000 0.0000
0.0468 0.3866 0.8604
0.2236 0.5599 0.5134
0.9497 0.0503 0.2500
0.4401 0.7764 0.9866
0.6134 0.9532 0.6396
0.3866 0.0468 0.3604
0.5599 0.2236 0.0134
0.7764 0.4401 0.4866
0.0503 0.9497 0.7500
0.9532 0.6134 0.1396
0.5258 0.4742 0.2500
0.4742 0.5258 0.7500
```


Material: LiDy2TmRh4
Method: DFT, PBE
State: relaxed

The density of states at the Fermi level is 3.23 states/eV/f.u. The value obtained for the formation energy is -0.743 eV/atom.

The structure in POSCAR format:
```
LiDy2TmRh4
1.0
4.6930 0.0000 0.0000
2.3465 4.0642 0.0000
2.3465 1.3547 7.6677
Rh Li Dy Tm
4 1 2 1
direct
0.3752 0.3752 0.8744
0.6248 0.6248 0.1256
0.1226 0.1226 0.6322
0.8774 0.8774 0.3678
0.5000 0.5000 0.5000
0.2426 0.2426 0.2721
0.7574 0.7574 0.7279
0.0000 0.0000 0.0000
```


Material: KLiTl2Te2
Method: DFT, PBE
State: relaxed

For the formation energy from raw total energies, the calculation gives -0.649 eV per atom.

The structure in POSCAR format:
```
KLiTl2Te2
1.0
4.8353 0.0000 0.0000
0.0000 7.9997 0.0000
0.0000 0.0000 10.9554
Tl K Te Li
4 2 4 2
direct
0.5000 0.0039 0.1130
0.5000 0.5039 0.8870
0.0000 0.8609 0.8566
0.0000 0.3609 0.1434
0.0000 0.0193 0.4770
0.0000 0.5193 0.5230
0.0000 0.7586 0.2237
0.0000 0.2586 0.7763
0.5000 0.7855 0.6589
0.5000 0.2855 0.3411
0.5000 0.1174 0.7230
0.5000 0.6174 0.2770
```